Record 1
# CdSi2Ru | Alexandria via LeMat-Bulk | PBE-GGA | relaxed
# Space-group type   C2/m
# V   16.09 Å³ per atom
# ΔE_f (raw)   0.36 eV/atom
# Final energy   -19.58 eV/cell
data_CdSi2Ru
_cell_length_a 4.841
_cell_length_b 5.200
_cell_length_c 3.092
_cell_angle_alpha 71.61
_cell_angle_beta 92.22
_cell_angle_gamma 118.49
_symmetry_space_group_name_H-M 'P 1'
_symmetry_Int_Tables_number 1
_symmetry_space_group_name_Hall 'P 1'
loop_
_atom_site_label
_atom_site_fract_x
_atom_site_fract_y
_atom_site_fract_z
Si1 0.000 0.000 0.000
Cd1 0.000 0.500 0.500
Si2 0.500 0.000 0.500
Ru1 0.500 0.500 0.000

---

Record 2
# Cd2SiRu | Alexandria via LeMat-Bulk | PBE-GGA | relaxed
# Space-group type   P4mm
# V   17.64 Å³ per atom
# ΔE_f (raw)   -0.09 eV/atom
# Final energy   -16.89 eV/cell
data_Cd2SiRu
_cell_length_a 3.120
_cell_length_b 3.120
_cell_length_c 7.250
_cell_angle_alpha 90.00
_cell_angle_beta 90.00
_cell_angle_gamma 90.00
_symmetry_space_group_name_H-M 'P 1'
_symmetry_Int_Tables_number 1
_symmetry_space_group_name_Hall 'P 1'
loop_
_atom_site_label
_atom_site_fract_x
_atom_site_fract_y
_atom_site_fract_z
Cd1 0.500 0.500 0.278
Ru1 0.000 0.000 0.556
Si1 0.500 0.500 0.693
Cd2 0.000 0.000 0.972

---

Record 3
# Cd2SiRu | Alexandria via LeMat-Bulk | PBE-GGA | relaxed
# Space-group type   I4/mmm
# V   16.90 Å³ per atom
# ΔE_f (raw)   0.23 eV/atom
# Final energy   -15.62 eV/cell
data_Cd2SiRu
_cell_length_a 5.325
_cell_length_b 5.325
_cell_length_c 5.325
_cell_angle_alpha 137.77
_cell_angle_beta 137.66
_cell_angle_gamma 61.34
_symmetry_space_group_name_H-M 'P 1'
_symmetry_Int_Tables_number 1
_symmetry_space_group_name_Hall 'P 1'
loop_
_atom_site_label
_atom_site_fract_x
_atom_site_fract_y
_atom_site_fract_z
Cd1 0.000 0.000 0.000
Si1 0.250 0.750 0.500
Ru1 0.750 0.250 0.500
Cd2 0.500 0.500 0.000

---

Record 4
# CdSi2Ru2 | Alexandria via LeMat-Bulk | PBE-GGA | relaxed
# Space-group type   P4/mbm
# V   14.44 Å³ per atom
# ΔE_f (raw)   -0.33 eV/atom
# Final energy   -63.91 eV/cell
data_CdSi2Ru2
_cell_length_a 7.109
_cell_length_b 7.109
_cell_length_c 2.858
_cell_angle_alpha 90.00
_cell_angle_beta 90.00
_cell_angle_gamma 90.00
_symmetry_space_group_name_H-M 'P 1'
_symmetry_Int_Tables_number 1
_symmetry_space_group_name_Hall 'P 1'
loop_
_atom_site_label
_atom_site_fract_x
_atom_site_fract_y
_atom_site_fract_z
Si1 0.637 0.137 0.000
Si2 0.137 0.363 0.000
Cd1 0.500 0.500 0.000
Ru1 0.153 0.653 0.500
Ru2 0.847 0.347 0.500
Si3 0.863 0.637 0.000
Si4 0.363 0.863 0.000
Cd2 0.000 0.000 0.000
Ru3 0.347 0.153 0.500
Ru4 0.653 0.847 0.500

---

Record 5
# Cd2SiRu | Alexandria via LeMat-Bulk | PBE-GGA | relaxed
# Space-group type   R-3m
# V   18.08 Å³ per atom
# ΔE_f (raw)   0.44 eV/atom
# Final energy   -14.77 eV/cell
data_Cd2SiRu
_cell_length_a 10.291
_cell_length_b 10.291
_cell_length_c 10.291
_cell_angle_alpha 16.02
_cell_angle_beta 16.02
_cell_angle_gamma 16.02
_symmetry_space_group_name_H-M 'P 1'
_symmetry_Int_Tables_number 1
_symmetry_space_group_name_Hall 'P 1'
loop_
_atom_site_label
_atom_site_fract_x
_atom_site_fract_y
_atom_site_fract_z
Cd1 0.994 0.994 0.994
Ru1 0.250 0.250 0.250
Si1 0.750 0.750 0.750
Cd2 0.506 0.506 0.506

---

Record 6
# Cd2SiRu | Alexandria via LeMat-Bulk | PBE-GGA | relaxed
# Space-group type   Pm
# V   18.18 Å³ per atom
# ΔE_f (raw)   0.08 eV/atom
# Final energy   -16.20 eV/cell
data_Cd2SiRu
_cell_length_a 4.072
_cell_length_b 3.417
_cell_length_c 5.496
_cell_angle_alpha 71.99
_cell_angle_beta 90.00
_cell_angle_gamma 90.00
_symmetry_space_group_name_H-M 'P 1'
_symmetry_Int_Tables_number 1
_symmetry_space_group_name_Hall 'P 1'
loop_
_atom_site_label
_atom_site_fract_x
_atom_site_fract_y
_atom_site_fract_z
Cd1 0.000 0.953 0.970
Ru1 0.000 0.679 0.518
Si1 0.500 0.573 0.728
Cd2 0.500 0.295 0.283

---

Record 7
# CdSi2Ru | Alexandria via LeMat-Bulk | PBE-GGA | relaxed
# Space-group type   Immm
# V   16.46 Å³ per atom
# ΔE_f (raw)   0.24 eV/atom
# Final energy   -20.09 eV/cell
data_CdSi2Ru
_cell_length_a 5.234
_cell_length_b 5.234
_cell_length_c 5.234
_cell_angle_alpha 146.36
_cell_angle_beta 122.86
_cell_angle_gamma 67.97
_symmetry_space_group_name_H-M 'P 1'
_symmetry_Int_Tables_number 1
_symmetry_space_group_name_Hall 'P 1'
loop_
_atom_site_label
_atom_site_fract_x
_atom_site_fract_y
_atom_site_fract_z
Ru1 0.250 0.750 0.500
Si1 0.030 0.030 0.000
Si2 0.470 0.470 0.000
Cd1 0.750 0.250 0.500

---

Record 8
# Cd2SiRu | Alexandria via LeMat-Bulk | PBE-GGA | relaxed
# Space-group type   Cmmm
# V   17.59 Å³ per atom
# ΔE_f (raw)   0.33 eV/atom
# Final energy   -15.20 eV/cell
data_Cd2SiRu
_cell_length_a 4.901
_cell_length_b 6.183
_cell_length_c 3.232
_cell_angle_alpha 58.42
_cell_angle_beta 90.04
_cell_angle_gamma 117.27
_symmetry_space_group_name_H-M 'P 1'
_symmetry_Int_Tables_number 1
_symmetry_space_group_name_Hall 'P 1'
loop_
_atom_site_label
_atom_site_fract_x
_atom_site_fract_y
_atom_site_fract_z
Si1 0.500 0.000 0.500
Ru1 0.500 0.500 0.000
Cd1 0.000 0.500 0.500
Cd2 0.000 0.000 0.000

---

Record 9
# CdSi2Ru | Alexandria via LeMat-Bulk | PBE-GGA | relaxed
# Space-group type   Pm
# V   16.24 Å³ per atom
# ΔE_f (raw)   0.06 eV/atom
# Final energy   -20.79 eV/cell
data_CdSi2Ru
_cell_length_a 4.328
_cell_length_b 3.185
_cell_length_c 4.970
_cell_angle_alpha 71.47
_cell_angle_beta 90.00
_cell_angle_gamma 90.00
_symmetry_space_group_name_H-M 'P 1'
_symmetry_Int_Tables_number 1
_symmetry_space_group_name_Hall 'P 1'
loop_
_atom_site_label
_atom_site_fract_x
_atom_site_fract_y
_atom_site_fract_z
Ru1 0.500 0.925 0.776
Si1 0.500 0.223 0.181
Cd1 0.000 0.541 0.539
Si2 0.000 0.811 0.005

---

Record 10
# Cd2SiRu | Alexandria via LeMat-Bulk | PBE-GGA | relaxed
# Space-group type   Imm2
# V   18.15 Å³ per atom
# ΔE_f (raw)   0.12 eV/atom
# Final energy   -16.05 eV/cell
data_Cd2SiRu
_cell_length_a 5.348
_cell_length_b 5.348
_cell_length_c 5.348
_cell_angle_alpha 140.20
_cell_angle_beta 131.27
_cell_angle_gamma 64.67
_symmetry_space_group_name_H-M 'P 1'
_symmetry_Int_Tables_number 1
_symmetry_space_group_name_Hall 'P 1'
loop_
_atom_site_label
_atom_site_fract_x
_atom_site_fract_y
_atom_site_fract_z
Cd1 0.731 0.231 0.500
Si1 0.300 0.800 0.500
Ru1 0.455 0.455 0.000
Cd2 0.015 0.015 0.000

---

Record 11
# CdSi2Ru | Alexandria via LeMat-Bulk | PBE-GGA | relaxed
# Space-group type   I4/mmm
# V   15.24 Å³ per atom
# ΔE_f (raw)   0.27 eV/atom
# Final energy   -19.95 eV/cell
data_CdSi2Ru
_cell_length_a 4.697
_cell_length_b 4.697
_cell_length_c 4.697
_cell_angle_alpha 128.98
_cell_angle_beta 128.98
_cell_angle_gamma 75.04
_symmetry_space_group_name_H-M 'P 1'
_symmetry_Int_Tables_number 1
_symmetry_space_group_name_Hall 'P 1'
loop_
_atom_site_label
_atom_site_fract_x
_atom_site_fract_y
_atom_site_fract_z
Si1 0.000 0.000 0.000
Cd1 0.250 0.750 0.500
Ru1 0.750 0.250 0.500
Si2 0.500 0.500 0.000

---

Record 12
# CdSi2Ru | Alexandria via LeMat-Bulk | PBE-GGA | relaxed
# Space-group type   Imm2
# V   15.71 Å³ per atom
# ΔE_f (raw)   0.23 eV/atom
# Final energy   -20.11 eV/cell
data_CdSi2Ru
_cell_length_a 5.355
_cell_length_b 5.355
_cell_length_c 5.355
_cell_angle_alpha 147.33
_cell_angle_beta 130.08
_cell_angle_gamma 60.94
_symmetry_space_group_name_H-M 'P 1'
_symmetry_Int_Tables_number 1
_symmetry_space_group_name_Hall 'P 1'
loop_
_atom_site_label
_atom_site_fract_x
_atom_site_fract_y
_atom_site_fract_z
Si1 0.780 0.280 0.500
Si2 0.011 0.011 0.000
Cd1 0.495 0.495 0.000
Ru1 0.215 0.715 0.500

---

Record 13
# Cd2SiRu | Alexandria via LeMat-Bulk | PBE-GGA | relaxed
# Space-group type   R3m
# V   18.07 Å³ per atom
# ΔE_f (raw)   0.04 eV/atom
# Final energy   -16.37 eV/cell
data_Cd2SiRu
_cell_length_a 9.239
_cell_length_b 9.239
_cell_length_c 9.239
_cell_angle_alpha 18.90
_cell_angle_beta 18.90
_cell_angle_gamma 18.90
_symmetry_space_group_name_H-M 'P 1'
_symmetry_Int_Tables_number 1
_symmetry_space_group_name_Hall 'P 1'
loop_
_atom_site_label
_atom_site_fract_x
_atom_site_fract_y
_atom_site_fract_z
Cd1 0.007 0.007 0.007
Si1 0.763 0.763 0.763
Cd2 0.241 0.241 0.241
Ru1 0.489 0.489 0.489

---

Record 14
# Cd2SiRu | Alexandria via LeMat-Bulk | PBE-GGA | relaxed
# Space-group type   P2/m
# V   17.55 Å³ per atom
# ΔE_f (raw)   0.33 eV/atom
# Final energy   -15.22 eV/cell
data_Cd2SiRu
_cell_length_a 5.295
_cell_length_b 2.905
_cell_length_c 4.565
_cell_angle_alpha 90.82
_cell_angle_beta 90.00
_cell_angle_gamma 90.00
_symmetry_space_group_name_H-M 'P 1'
_symmetry_Int_Tables_number 1
_symmetry_space_group_name_Hall 'P 1'
loop_
_atom_site_label
_atom_site_fract_x
_atom_site_fract_y
_atom_site_fract_z
Cd1 0.000 0.997 0.002
Si1 0.500 0.750 0.750
Ru1 0.500 0.250 0.250
Cd2 0.000 0.503 0.498